1.
meta-GGA SCAN MgRhW2, single point on PBEsol structure; DOS at the Fermi energy = 0.675 states/eV/atom; total DFT energy (no corrections) = -44.41 eV/atom; ΔH_f (0 K) = 0.48 eV per formula unit
1.0
3.707 0.000 0.000
0.000 3.707 0.000
-1.854 -1.854 4.432
W Mg Rh
2 1 1
Direct
0.750 0.250 0.500
0.250 0.750 0.500
0.500 0.500 0.000
0.000 0.000 0.000


2.
meta-GGA SCAN MgRh2W, single point on PBEsol structure; DOS at the Fermi energy = 0.848 states/eV/atom; total DFT energy (no corrections) = -35.59 eV/atom; ΔH_f (0 K) = -0.16 eV per formula unit
1.0
2.739 0.000 0.000
-1.370 4.317 0.005
0.000 -0.633 5.008
Mg Rh W
1 2 1
Direct
0.000 0.000 0.500
0.750 0.501 0.758
0.250 0.499 0.242
0.500 0.000 0.000


3.
meta-GGA SCAN Mg3RhW, single point on PBEsol structure; DOS at the Fermi energy = 1.221 states/eV/atom; total DFT energy (no corrections) = -21.82 eV/atom; ΔH_f (0 K) = 9.27 eV per formula unit
1.0
5.015 0.000 0.000
0.000 5.015 0.000
0.000 0.000 5.015
Mg W Rh
3 1 1
Direct
0.500 0.000 0.000
0.000 0.500 0.000
0.000 0.000 0.500
0.000 0.000 0.000
0.500 0.500 0.500


4.
meta-GGA SCAN Y2MgRh, single point on PBEsol structure; DOS at the Fermi energy = 0.533 states/eV/atom; total DFT energy (no corrections) = -24.02 eV/atom; ΔH_f (0 K) = -1.67 eV per formula unit
1.0
3.806 0.000 0.000
1.903 3.296 0.000
1.903 1.099 8.451
Y Rh Mg
2 1 1
Direct
0.729 0.729 0.812
0.271 0.271 0.188
0.000 0.000 0.000
0.500 0.500 0.500


5.
meta-GGA SCAN Y2MgRh, single point on PBEsol structure; DOS at the Fermi energy = 0.761 states/eV/atom; total DFT energy (no corrections) = -24.16 eV/atom; ΔH_f (0 K) = -2.20 eV per formula unit
1.0
3.469 0.000 0.000
0.000 3.469 0.000
0.000 0.000 7.723
Rh Y Mg
1 2 1
Direct
0.500 0.500 0.500
0.000 0.000 0.291
0.000 0.000 0.709
0.500 0.500 0.000


6.
meta-GGA SCAN Y2Mg2Rh, single point on PBEsol structure; DOS at the Fermi energy = 0.547 states/eV/atom; total DFT energy (no corrections) = -19.97 eV/atom; ΔH_f (0 K) = -0.46 eV per formula unit
1.0
-3.189 0.896 -1.553
-0.066 -3.226 -1.725
-2.790 -2.473 8.614
Mg Rh Y
2 1 2
Direct
0.750 0.250 0.500
0.250 0.750 0.500
0.000 0.000 0.000
0.414 0.414 0.827
0.586 0.586 0.173